Model one:
Material: ThIrPd
Method: DFT, PBE
State: relaxed

a b c (Å): 4.4524 4.4524 3.7961
angles (deg): 90.00 90.00 120.00
Space group P-6m2 (No. 187)
Unique sites:
Th  0.0000  0.0000  0.0000 (multiplicity 1)
Ir  0.3333  0.6667  0.5000 (multiplicity 1)
Pd  0.6667  0.3333  0.5000 (multiplicity 1)

Model two:
Material: ThIrPd
Method: DFT, PBE
State: relaxed

a b c (Å): 5.486 4.535 5.590
angles (deg): 90.00 105.93 90.00
Space group P2_1/m (No. 11)
Unique sites:
Th  0.200  0.250  0.369 (multiplicity 2)
Ir  0.112  0.250  0.830 (multiplicity 2)
Pd  0.378  0.750  0.096 (multiplicity 2)

Which structure wins on stability? model one wins.

Model one:
Material: ThIrPd
Method: DFT, PBE
State: relaxed

a b c (Å): 11.431 11.431 4.035
angles (deg): 90.00 90.00 90.00
Space group I4/mmm (No. 139)
Unique sites:
Th  0.000  0.219  0.000 (multiplicity 8)
Ir  0.190  0.190  0.500 (multiplicity 8)
Pd  0.000  0.382  0.500 (multiplicity 8)

Model two:
Material: ThIrPd
Method: DFT, PBE
State: relaxed

a b c (Å): 3.707 3.707 9.025
angles (deg): 90.00 90.00 90.00
Space group I4mm (No. 107)
Unique sites:
Th  0.000  0.000  0.000 (multiplicity 2)
Ir  0.000  0.000  0.351 (multiplicity 2)
Pd  0.000  0.000  0.677 (multiplicity 2)

Which structure wins on stability? model two wins.

Model one:
Material: TmThIrPd
Method: DFT, PBE
State: relaxed

a b c (Å): 4.310 3.833 10.977
angles (deg): 90.00 90.00 90.00
Space group Amm2 (No. 38)
Unique sites:
Tm  0.000  0.000  0.000 (multiplicity 2)
Th  0.500  0.000  0.725 (multiplicity 2)
Ir  0.000  0.000  0.266 (multiplicity 2)
Pd  0.500  0.000  0.450 (multiplicity 2)

Model two:
Material: TmThIrPd
Method: DFT, PBE
State: relaxed

a b c (Å): 7.058 7.058 7.058
angles (deg): 90.00 90.00 90.00
Space group F-43m (No. 216)
Unique sites:
Tm  0.000  0.000  0.000 (multiplicity 4)
Th  0.000  0.000  0.500 (multiplicity 4)
Ir  0.250  0.250  0.250 (multiplicity 4)
Pd  0.250  0.250  0.750 (multiplicity 4)

Which structure wins on stability? model one wins.

Model one:
Material: YThIrPd
Method: DFT, PBE
State: relaxed

a b c (Å): 4.253 3.872 11.264
angles (deg): 90.00 90.00 90.00
Space group Amm2 (No. 38)
Unique sites:
Y  0.000  0.000  0.000 (multiplicity 2)
Th  0.500  0.000  0.277 (multiplicity 2)
Ir  0.000  0.000  0.738 (multiplicity 2)
Pd  0.500  0.000  0.554 (multiplicity 2)

Model two:
Material: YThIrPd
Method: DFT, PBE
State: relaxed

a b c (Å): 7.101 7.101 7.101
angles (deg): 90.00 90.00 90.00
Space group F-43m (No. 216)
Unique sites:
Y  0.000  0.000  0.000 (multiplicity 4)
Th  0.000  0.000  0.500 (multiplicity 4)
Ir  0.250  0.250  0.250 (multiplicity 4)
Pd  0.250  0.250  0.750 (multiplicity 4)

Which structure wins on stability? model one wins.

Model one:
Material: Ti2IrPd2
Method: DFT, PBE
State: relaxed

a b c (Å): 7.204 7.204 3.020
angles (deg): 90.00 90.00 90.00
Space group P4/mbm (No. 127)
Unique sites:
Ti  0.177  0.323  0.000 (multiplicity 4)
Ir  0.000  0.000  0.500 (multiplicity 2)
Pd  0.129  0.629  0.500 (multiplicity 4)

Model two:
Material: Ti2IrPd2
Method: DFT, PBE
State: relaxed

a b c (Å): 3.455 15.722 2.925
angles (deg): 90.00 90.00 90.00
Space group Cmmm (No. 65)
Unique sites:
Ti  0.000  0.098  0.000 (multiplicity 4)
Ir  0.000  0.500  0.500 (multiplicity 2)
Pd  0.000  0.317  0.500 (multiplicity 4)

Which structure wins on stability? model two wins.

Model one:
Material: TiIrPd
Method: DFT, PBE
State: relaxed

a b c (Å): 2.900 2.900 11.010
angles (deg): 90.00 90.00 90.00
Space group I4mm (No. 107)
Unique sites:
Ti  0.000  0.000  0.000 (multiplicity 2)
Ir  0.000  0.000  0.357 (multiplicity 2)
Pd  0.000  0.000  0.668 (multiplicity 2)

Model two:
Material: TiIrPd
Method: DFT, PBE
State: relaxed

a b c (Å): 3.695 12.362 3.942
angles (deg): 90.00 90.00 90.00
Space group Cmcm (No. 63)
Unique sites:
Ti  0.000  0.090  0.250 (multiplicity 4)
Ir  0.000  0.420  0.250 (multiplicity 4)
Pd  0.000  0.253  0.750 (multiplicity 4)

Which structure wins on stability? model two wins.